[1]
A plane-wave DFT calculation with PBE was carried out for a geometry-optimized Ba2TlRh structure.

abc: 11.488 11.488 8.554
angles: 47.81 47.81 90.00
Fractional positions:
Rh  0.500  0.500  0.000
Rh  0.250  0.750  0.500
Ba  0.453  0.125  0.250
Ba  0.297  0.625  0.250
Ba  0.375  0.547  0.750
Ba  0.875  0.703  0.750
Tl  0.750  0.250  0.500
Tl  0.000  0.000  0.000

Results
DOS(E_F) = 6.62 states/eV per cell
Formation energy from the elements = -0.197 eV per atom
ΔE to the lowest computed polymorph = 57.6 meV per atom
Volume = 353.54 Å³ per cell
Spin magnetization = 0.000 μB/atom
Energy = -3.59 eV per atom

[2]
A plane-wave DFT calculation with PBE was carried out for a geometry-optimized Ba2PmInTe5 structure.

abc: 4.622 10.606 14.318
angles: 90.00 90.00 102.59
Fractional positions:
In  0.443  0.885  0.440
In  0.557  0.115  0.940
Te  0.497  0.994  0.767
Te  0.311  0.623  0.365
Te  0.951  0.902  0.557
Te  0.708  0.417  0.168
Te  0.357  0.715  0.004
Te  0.503  0.006  0.267
Te  0.689  0.377  0.865
Te  0.643  0.285  0.504
Te  0.049  0.098  0.057
Te  0.292  0.583  0.668
Pm  0.210  0.419  0.020
Pm  0.790  0.581  0.520
Ba  0.119  0.238  0.685
Ba  0.129  0.257  0.319
Ba  0.881  0.762  0.185
Ba  0.871  0.743  0.819

Results
Volume = 685.07 Å³ per cell
Spin magnetization = 0.000 μB/atom
Formation energy without anion corrections = -1.3111 eV per atom
Energy = -4.32 eV per atom

[3]
A plane-wave DFT calculation with PBE was carried out for a geometry-optimized Rb5Hg2Pt structure.

abc: 4.729 9.588 21.002
angles: 90.00 90.00 104.28
Fractional positions:
Pt  0.698  0.397  0.750
Pt  0.302  0.603  0.250
Hg  0.185  0.371  0.824
Hg  0.815  0.629  0.324
Hg  0.185  0.371  0.676
Hg  0.815  0.629  0.176
Rb  0.834  0.669  0.857
Rb  0.166  0.331  0.143
Rb  0.385  0.770  0.440
Rb  0.166  0.331  0.357
Rb  0.528  0.057  0.750
Rb  0.615  0.230  0.940
Rb  0.615  0.230  0.560
Rb  0.834  0.669  0.643
Rb  0.472  0.943  0.250
Rb  0.385  0.770  0.060

Results
DOS(E_F) = 8.27 states/eV per cell
Formation energy from the elements = -0.108 eV per atom
Volume = 922.79 Å³ per cell
Spin magnetization = 0.000 μB/atom
Energy = -1.54 eV per atom